# Ho7BI12 | Alexandria | GGA-PBE | relaxed
# total energy: -4.05 eV per atom
# magnetic moment: 5.6 μB/cell
data_Ho7BI12
_symmetry_space_group_name_H-M 'R -3'
_symmetry_Int_Tables_number 148
_symmetry_space_group_name_Hall '-R 3'
_cell_length_a 15.5089
_cell_length_b 15.5089
_cell_length_c 10.3575
_cell_angle_alpha 90.00
_cell_angle_beta 90.00
_cell_angle_gamma 120.00
loop_
_atom_site_label
_atom_site_fract_x
_atom_site_fract_y
_atom_site_fract_z
Ho1 0.0000 0.0000 0.0000
Ho2 0.0420 0.1508 0.3598
B1 0.0000 0.0000 0.5000
I1 0.0235 0.5860 0.1634
I2 0.0517 0.1832 0.8364